## AlCuPt2 (SCAN)

Data for a PBEsol-optimized structure of AlCuPt2.

abc: 3.206 3.206 5.441
angles: 90.00 90.00 90.00
Sites, in units of the cell vectors:
Pt 0.000 0.000 0.968
Pt 0.500 0.500 0.276
Al 0.000 0.000 0.502
Cu 0.500 0.500 0.754

## Properties
- magnetic moment (Bohr magnetons per cell) = 0.0
- VASP energy (Ha/atom) = -1.5215